Material: Mn2AsAu
Method: DFT, GGA-PBE
State: optimized geometry

Unit cell a=4.739 b=4.739 c=4.739 alpha=128.29 beta=128.29 gamma=76.15
Last column: magnetic moment on the atom in μB.
Fractional positions:
Au (0.750, 0.250, 0.500)  0.04
As (0.250, 0.750, 0.500)  -0.07
Mn (0.000, 0.000, 0.000)  3.52
Mn (0.500, 0.500, 0.000)  3.52

Output
D(E_F), states/eV/f.u.: 3.3
Symmetry: I4/mmm, No. 139
Formation enthalpy at 0 K, eV per atom: 0.096
Energy, eV/atom: -6.47
Magnetization, μB/f.u.: 7.3

***

Material: MnAsAu
Method: DFT, GGA-PBE
State: optimized geometry

Unit cell a=4.316 b=4.316 c=4.316 alpha=60.00 beta=60.00 gamma=60.00
Last column: magnetic moment on the atom in μB.
Fractional positions:
Au (0.500, 0.500, 0.500)  0.07
As (0.000, 0.000, 0.000)  -0.14
Mn (0.250, 0.250, 0.250)  3.50

Output
D(E_F), states/eV/f.u.: 0.8
Symmetry: F-43m, No. 216
Formation enthalpy at 0 K, eV per atom: 0.033
Energy, eV/atom: -5.67
Magnetization, μB/f.u.: 3.6
Offset from the most stable computed form, meV per atom: 0

***

Material: Mn2AsAu
Method: DFT, GGA-PBE
State: optimized geometry

Unit cell a=3.282 b=3.282 c=5.959 alpha=90.00 beta=90.00 gamma=90.00
Last column: magnetic moment on the atom in μB.
Fractional positions:
Mn (0.500, 0.500, 0.268)  2.90
Mn (0.000, 0.000, 0.011)  3.64
As (0.000, 0.000, 0.444)  -0.12
Au (0.500, 0.500, 0.777)  0.11

Output
D(E_F), states/eV/f.u.: 1.8
Symmetry: P4mm, No. 99
Formation enthalpy at 0 K, eV per atom: 0.054
Energy, eV/atom: -6.51
Magnetization, μB/f.u.: 6.7

***

Material: Mn3AsAu
Method: DFT, GGA-PBE
State: optimized geometry

Unit cell a=4.536 b=4.536 c=4.536 alpha=90.00 beta=90.00 gamma=90.00
Last column: magnetic moment on the atom in μB.
Fractional positions:
Mn (0.000, 0.500, 0.000)  3.41
Mn (0.500, 0.000, 0.000)  3.45
As (0.000, 0.000, 0.000)  -0.10
Mn (0.000, 0.000, 0.500)  3.53
Au (0.500, 0.500, 0.500)  0.02

Output
D(E_F), states/eV/f.u.: 3.1
Symmetry: Pm-3m, No. 221
Formation enthalpy at 0 K, eV per atom: 0.503
Energy, eV/atom: -6.58
Magnetization, μB/f.u.: 10.6
Offset from the most stable computed form, meV per atom: 0

***

Material: Mn2AsAu
Method: DFT, GGA-PBE
State: optimized geometry

Unit cell a=4.608 b=4.608 c=3.146 alpha=89.96 beta=89.96 gamma=103.39
Last column: magnetic moment on the atom in μB.
Fractional positions:
Au (0.000, 0.500, 0.500)  0.08
Mn (0.000, 0.000, 0.000)  3.66
As (0.500, 0.000, 0.500)  -0.07
Mn (0.500, 0.500, 0.000)  3.66

Output
D(E_F), states/eV/f.u.: 2.9
Symmetry: Cmmm, No. 65
Formation enthalpy at 0 K, eV per atom: 0.081
Energy, eV/atom: -6.49
Magnetization, μB/f.u.: 7.6

***

Material: MnAsAu
Method: DFT, GGA-PBE
State: optimized geometry

Unit cell a=5.188 b=5.188 c=5.188 alpha=142.57 beta=142.59 gamma=53.96
Last column: magnetic moment on the atom in μB.
Fractional positions:
As (0.031, 0.031, 0.000)  -0.15
Mn (0.642, 0.642, 0.000)  3.36
Au (0.327, 0.327, 0.000)  0.00

Output
D(E_F), states/eV/f.u.: 1.5
Symmetry: I4mm, No. 107
Formation enthalpy at 0 K, eV per atom: 0.079
Energy, eV/atom: -5.62
Magnetization, μB/f.u.: 3.3
Offset from the most stable computed form, meV per atom: 46

***

Material: MnAs2Au2
Method: DFT, GGA-PBE
State: optimized geometry

Unit cell a=6.285 b=6.285 c=4.916 alpha=90.00 beta=90.00 gamma=90.00
Last column: magnetic moment on the atom in μB.
Fractional positions:
Au (0.278, 0.778, 0.500)  0.02
As (0.859, 0.641, 0.000)  -0.07
Au (0.778, 0.722, 0.500)  0.02
Mn (0.000, 0.000, 0.000)  3.15
As (0.641, 0.141, 0.000)  -0.07
Au (0.722, 0.222, 0.500)  0.02
As (0.141, 0.359, 0.000)  -0.07
Mn (0.500, 0.500, 0.000)  3.15
As (0.359, 0.859, 0.000)  -0.07
Au (0.222, 0.278, 0.500)  0.02

Output
D(E_F), states/eV/f.u.: 1.9
Symmetry: P4/mbm, No. 127
Formation enthalpy at 0 K, eV per atom: 0.079
Energy, eV/atom: -4.93
Magnetization, μB/f.u.: 3.1

***

Material: MnAs2Au
Method: DFT, GGA-PBE
State: optimized geometry

Unit cell a=4.623 b=4.623 c=4.623 alpha=60.00 beta=60.00 gamma=60.00
Last column: magnetic moment on the atom in μB.
Fractional positions:
Mn (0.000, 0.000, 0.000)  3.38
Au (0.500, 0.500, 0.500)  0.00
As (0.750, 0.750, 0.750)  -0.10
As (0.250, 0.250, 0.250)  -0.10

Output
D(E_F), states/eV/f.u.: 2.4
Symmetry: Fm-3m, No. 225
Formation enthalpy at 0 K, eV per atom: 0.252
Energy, eV/atom: -5.18
Magnetization, μB/f.u.: 3.2
Offset from the most stable computed form, meV per atom: 207